# 1
PBE InH2Pd6, optimized geometry; total magnetization = 0.00 Bohr magnetons per cell; E_tot = -4.684 eV per atom
1.0
2.931 0.000 0.000
1.465 4.609 0.272
1.465 2.432 9.184
H Pd In
2 6 1
direct
0.132 0.915 0.821
0.868 0.085 0.179
0.941 0.319 0.799
0.252 0.859 0.637
0.350 0.233 0.067
0.650 0.767 0.933
0.059 0.681 0.201
0.748 0.141 0.363
0.000 0.500 0.500

***

# 2
PBE InHPd, optimized geometry; total magnetization = 0.00 Bohr magnetons per cell; E above lowest polymorph = 0 kJ/mol of formula units; E_tot = -3.935 eV per atom
1.0
3.475 0.000 0.000
-1.737 4.979 -1.243
0.000 -5.545 6.360
Pd In H
2 2 2
direct
0.755 0.510 0.754
0.245 0.490 0.246
0.999 0.998 0.287
0.001 0.002 0.713
0.690 0.380 0.192
0.310 0.620 0.808

***

# 3
PBE InH2Pd, optimized geometry; total magnetization = 0.00 Bohr magnetons per cell; E above lowest polymorph = 0 kJ/mol of formula units; E_tot = -3.559 eV per atom
1.0
-2.718 -0.647 -4.165
3.281 -3.437 -1.607
-1.895 -4.998 -1.007
H Pd In
4 2 2
direct
0.498 0.125 0.250
0.375 0.502 0.750
0.252 0.625 0.250
0.875 0.748 0.750
0.250 0.750 0.500
0.500 0.500 0.000
0.750 0.250 0.500
0.000 0.000 0.000

***

# 4
PBE InH2Pd8, optimized geometry; total magnetization = 0.00 Bohr magnetons per cell; E_tot = -4.691 eV per atom
1.0
-3.116 -1.437 -3.269
-3.274 -4.253 4.108
-5.420 0.691 3.979
H Pd In
2 8 1
direct
0.494 0.806 0.806
0.506 0.194 0.194
0.389 0.861 0.362
0.123 0.399 0.399
0.877 0.601 0.601
0.389 0.362 0.861
0.870 0.211 0.211
0.130 0.789 0.789
0.611 0.638 0.139
0.611 0.139 0.638
0.000 0.000 0.000

***

# 5
PBE In3H2Pd9, optimized geometry; total magnetization = 0.00 Bohr magnetons per cell; E_tot = -4.849 eV per atom
1.0
-3.978 0.173 -4.144
5.166 -2.280 -1.069
-2.373 -6.323 2.015
Pd In H
9 3 2
direct
0.331 0.165 0.334
0.165 0.331 0.666
0.000 0.500 0.000
0.165 0.835 0.666
0.835 0.669 0.334
0.835 0.165 0.334
0.500 0.000 0.000
0.669 0.835 0.666
0.500 0.500 0.000
0.333 0.667 0.336
0.000 0.000 0.000
0.667 0.333 0.664
0.333 0.667 0.830
0.667 0.333 0.170

***

# 6
PBE In2HPd2, optimized geometry; total magnetization = 0.00 Bohr magnetons per cell; E_tot = -3.946 eV per atom
1.0
5.967 0.000 0.000
0.000 5.967 0.000
0.000 0.000 4.545
Pd In H
4 4 2
direct
0.332 0.832 0.000
0.668 0.168 0.000
0.832 0.668 0.000
0.168 0.332 0.000
0.666 0.834 0.500
0.166 0.666 0.500
0.334 0.166 0.500
0.834 0.334 0.500
0.500 0.500 0.000
0.000 0.000 0.000

***

# 7
PBE In2HPd4, optimized geometry; total magnetization = 0.00 Bohr magnetons per cell; E_tot = -4.586 eV per atom
1.0
3.984 0.000 0.000
0.000 3.984 0.000
1.992 1.992 6.937
Pd In H
4 2 1
direct
0.000 0.500 0.000
0.160 0.160 0.680
0.840 0.840 0.320
0.500 0.000 0.000
0.353 0.353 0.294
0.647 0.647 0.706
0.000 0.000 0.000

***

# 8
PBE In2HPd, optimized geometry; total magnetization = 0.00 Bohr magnetons per cell; E above lowest polymorph = 0 kJ/mol of formula units; E_tot = -3.362 eV per atom
1.0
2.497 -0.319 3.833
-0.512 3.106 3.335
-2.005 -1.186 3.950
In Pd H
2 1 1
direct
0.250 0.250 0.250
0.750 0.750 0.750
0.500 0.500 0.500
0.000 0.000 0.000

***

# 9
PBE PmInH4Pd6, optimized geometry; total magnetization = 0.00 Bohr magnetons per cell; E_tot = -4.638 eV per atom
1.0
5.434 0.000 0.000
-2.717 4.706 0.000
0.000 0.000 6.535
Pd H Pm In
6 4 1 1
direct
0.000 0.500 0.717
0.500 0.500 0.717
0.000 0.500 0.283
0.500 0.500 0.283
0.500 0.000 0.283
0.500 0.000 0.717
0.667 0.333 0.151
0.333 0.667 0.849
0.333 0.667 0.151
0.667 0.333 0.849
0.000 0.000 0.000
0.000 0.000 0.500

***

# 10
PBE Pm2InHPd6, optimized geometry; total magnetization = 0.00 Bohr magnetons per cell; E_tot = -5.298 eV per atom
1.0
5.778 0.034 0.022
-0.028 7.123 0.931
2.870 4.272 5.038
Pd Pm In H
6 2 1 1
direct
0.233 0.273 0.046
0.726 0.275 0.052
0.727 0.768 0.552
0.274 0.725 0.948
0.273 0.232 0.448
0.767 0.727 0.954
0.732 0.268 0.531
0.268 0.732 0.469
0.000 0.000 0.000
0.500 0.500 0.000

***

# 11
PBE Pr2InHPd6, optimized geometry; total magnetization = 0.00 Bohr magnetons per cell; E_tot = -5.294 eV per atom
1.0
-4.702 2.718 -2.091
1.619 -2.297 -6.637
-3.692 -3.865 -4.842
Pd H Pr In
6 1 2 1
direct
0.768 0.725 0.954
0.725 0.276 0.048
0.725 0.770 0.552
0.275 0.230 0.448
0.275 0.724 0.952
0.232 0.275 0.046
0.500 0.500 0.000
0.732 0.267 0.534
0.268 0.733 0.466
0.000 0.000 0.000

***

# 12
PBE InHPdPt2, optimized geometry; total magnetization = 0.00 Bohr magnetons per cell; E above lowest polymorph = 77 kJ/mol of formula units; E_tot = -4.852 eV per atom
1.0
-1.672 2.323 -2.729
1.183 -2.485 -2.840
-3.810 -2.271 0.400
Pd H Pt In
1 1 2 1
direct
0.500 0.500 0.500
0.000 0.000 0.000
0.500 0.000 0.000
0.000 0.500 0.000
0.000 0.000 0.500